(1)
{"formula": "LaNi2Au2", "functional": "PBE-GGA", "state": "relaxed", "ef_ev_per_atom": -0.36, "polymorph_energy_mev_per_atom": 0, "energy_ev_per_atom": -4.9697, "n_ef_per_ev_atom": 0.625, "lattice": [[-2.043, 2.043, 5.643], [2.043, -2.043, 5.643], [2.043, 2.043, -5.643]], "species": ["La", "Ni", "Ni", "Au", "Au"], "fractional_positions": [[0.000, 0.000, 0.000], [0.400, 0.400, 0.000], [0.600, 0.600, 0.000], [0.250, 0.750, 0.500], [0.750, 0.250, 0.500]]}

=====

(2)
{"formula": "Zr2NpTi", "functional": "PBE-GGA", "state": "relaxed", "ef_ev_per_atom": 0.31, "polymorph_energy_mev_per_atom": 0, "energy_ev_per_atom": -9.1698, "n_ef_per_ev_atom": 2.329, "lattice": [[3.642, 0.000, 0.000], [0.000, 3.642, 0.000], [0.000, 0.000, 6.511]], "species": ["Zr", "Zr", "Np", "Ti"], "fractional_positions": [[0.000, 0.000, 0.235], [0.000, 0.000, 0.765], [0.500, 0.500, 0.500], [0.500, 0.500, 0.000]]}

=====

(3)
{"formula": "NaEr2PdO5", "functional": "PBE-GGA", "state": "relaxed", "energy_ev_per_atom": -6.6241, "raw_formation_energy_ev_per_atom": -2.13, "n_ef_per_ev_atom": 0.506, "lattice": [[-3.219, 3.219, 5.944], [3.219, -3.219, 5.944], [3.219, 3.219, -5.944]], "species": ["Na", "Na", "Er", "Er", "Er", "Er", "Pd", "Pd", "O", "O", "O", "O", "O", "O", "O", "O", "O", "O"], "fractional_positions": [[0.250, 0.250, 0.000], [0.750, 0.750, 0.000], [0.173, 0.673, 0.846], [0.327, 0.173, 0.500], [0.673, 0.827, 0.500], [0.827, 0.327, 0.154], [0.250, 0.750, 0.500], [0.750, 0.250, 0.500], [0.000, 0.000, 0.000], [0.020, 0.249, 0.500], [0.249, 0.749, 0.229], [0.251, 0.480, 0.500], [0.480, 0.980, 0.229], [0.500, 0.500, 0.000], [0.520, 0.020, 0.771], [0.749, 0.520, 0.500], [0.751, 0.251, 0.771], [0.980, 0.751, 0.500]]}

=====

(4)
{"formula": "Pu2NpTc", "functional": "PBE-GGA", "state": "relaxed", "ef_ev_per_atom": 0.22, "polymorph_energy_mev_per_atom": 38, "energy_ev_per_atom": -12.7677, "n_ef_per_ev_atom": 3.273, "lattice": [[4.949, 0.000, 0.000], [0.000, 4.949, 0.000], [0.000, 0.000, 3.080]], "species": ["Pu", "Pu", "Np", "Tc"], "fractional_positions": [[0.000, 0.500, 0.000], [0.500, 0.000, 0.000], [0.000, 0.000, 0.500], [0.500, 0.500, 0.500]]}